The following is a PBE calculation of a relaxed Tb7Pm12Dy crystal, from Alexandria via LeMat-Bulk.

a = 8.829 Å, b = 8.829 Å, c = 8.829 Å
α = 94.24°, β = 94.24°, γ = 94.24°
Element x y z (fractional)
Tb (0.916, 0.651, 0.980)
Tb (0.349, 0.020, 0.084)
Tb (0.020, 0.084, 0.349)
Tb (0.500, 0.500, 0.500)
Tb (0.980, 0.916, 0.651)
Tb (0.651, 0.980, 0.916)
Tb (0.084, 0.349, 0.020)
Pm (0.817, 0.250, 0.684)
Pm (0.750, 0.316, 0.183)
Pm (0.478, 0.146, 0.412)
Pm (0.854, 0.588, 0.522)
Pm (0.316, 0.183, 0.750)
Pm (0.588, 0.522, 0.854)
Pm (0.412, 0.478, 0.146)
Pm (0.684, 0.817, 0.250)
Pm (0.146, 0.412, 0.478)
Pm (0.522, 0.854, 0.588)
Pm (0.250, 0.684, 0.817)
Pm (0.183, 0.750, 0.316)
Dy (0.000, 0.000, 0.000)

Its excess energy over the best structure of this formula in the dataset is 28 meV per atom. The calculation puts the formation energy at 0.270 eV/atom. The total energy comes out at -4.431 eV/atom. Its calculated volume is 682 Å³/f.u.